Computed, not measured: crystalline TbAsH2Ru at its relaxed geometry at the PBE-GGA level of DFT.

Unit cell a=3.9760 b=10.1682 c=6.0660 alpha=90.00 beta=90.00 gamma=90.00
Space group Cmcm (No. 63)
Asymmetric unit:
Tb  0.0000  0.2114  0.2500 (multiplicity 4)
As  0.0000  0.0726  0.7500 (multiplicity 4)
H  0.0000  0.3329  0.5624 (multiplicity 8)
Ru  0.0000  0.5000  0.0000 (multiplicity 4)

Values from the calculation:
- Calculated volume: 12.26 Å³ per atom
- Density of states at the Fermi level: 0.3232 states/eV per atom
- Raw total energy: -5.695 eV per atom